No. 1
## Sm2Si4PtAu3 (PBE-GGA)

Data for a relaxed structure of Sm2Si4PtAu3.

Unit cell a=4.281 b=4.281 c=10.329 alpha=90.00 beta=90.00 gamma=90.00
Space group P-4m2 (No. 115)
One atom of each set of equivalent atoms:
Sm  0.000  0.500  0.244 [2 per cell]
Si  0.000  0.000  0.500 [1 per cell]
Si  0.000  0.500  0.871 [2 per cell]
Si  0.500  0.500  0.500 [1 per cell]
Pt  0.500  0.500  0.000 [1 per cell]
Au  0.000  0.000  0.000 [1 per cell]
Au  0.000  0.500  0.633 [2 per cell]

## Properties
- VASP energy: -5.3586 eV per atom

---

No. 2
## Sm3Si6Pt2Au (PBE-GGA)

Data for a relaxed structure of Sm3Si6Pt2Au.

Unit cell a=5.6353 b=5.6353 c=8.6069 alpha=90.00 beta=90.00 gamma=120.00
Space group P-3m1 (No. 164)
One atom of each set of equivalent atoms:
Sm  0.0000  0.0000  0.0000 [1 per cell]
Sm  0.3333  0.6667  0.6034 [2 per cell]
Si  0.1865  0.3731  0.2766 [6 per cell]
Pt  0.3333  0.6667  0.0428 [2 per cell]
Au  0.0000  0.0000  0.5000 [1 per cell]

## Properties
- VASP energy: -5.5916 eV per atom

---

No. 3
## Sm2Si4Pt3Au (PBE-GGA)

Data for a relaxed structure of Sm2Si4Pt3Au.

Unit cell a=4.273 b=4.273 c=9.898 alpha=90.00 beta=90.00 gamma=90.00
Space group P-4m2 (No. 115)
One atom of each set of equivalent atoms:
Sm  0.000  0.500  0.245 [2 per cell]
Si  0.000  0.000  0.000 [1 per cell]
Si  0.000  0.500  0.639 [2 per cell]
Si  0.500  0.500  0.000 [1 per cell]
Pt  0.000  0.500  0.882 [2 per cell]
Pt  0.500  0.500  0.500 [1 per cell]
Au  0.000  0.000  0.500 [1 per cell]

## Properties
- VASP energy: -6.2564 eV per atom

---

No. 4
## Sr2Si3Pt4Au (PBE-GGA)

Data for a relaxed structure of Sr2Si3Pt4Au.

Unit cell a=4.404 b=4.404 c=10.100 alpha=90.00 beta=90.00 gamma=90.00
Space group P-4m2 (No. 115)
One atom of each set of equivalent atoms:
Sr  0.000  0.500  0.246 [2 per cell]
Si  0.000  0.000  0.000 [1 per cell]
Si  0.000  0.500  0.615 [2 per cell]
Pt  0.000  0.000  0.500 [1 per cell]
Pt  0.000  0.500  0.848 [2 per cell]
Pt  0.500  0.500  0.500 [1 per cell]
Au  0.500  0.500  0.000 [1 per cell]

## Properties
- VASP energy: -5.5091 eV per atom

---

No. 5
## Sr2Si3Pt12Au (PBE-GGA)

Data for a relaxed structure of Sr2Si3Pt12Au.

Unit cell a=8.2924 b=8.2924 c=18.5843 alpha=90.00 beta=90.00 gamma=120.00
Space group R-3m (No. 166, hexagonal axes)
One atom of each set of equivalent atoms:
Sr  0.0000  0.0000  0.1081 [6 per cell]
Si  0.0000  0.5000  0.0000 [9 per cell]
Pt  0.0102  0.5051  0.8756 [18 per cell]
Pt  0.0359  0.5180  0.3676 [18 per cell]
Au  0.0000  0.0000  0.5000 [3 per cell]

## Properties
- VASP energy: -5.6098 eV per atom

---

No. 6
## Tb2Si3Pt4Au (PBE-GGA)

Data for a relaxed structure of Tb2Si3Pt4Au.

Unit cell a=4.048 b=4.048 c=11.097 alpha=90.00 beta=90.00 gamma=90.00
Space group P-4m2 (No. 115)
One atom of each set of equivalent atoms:
Tb  0.000  0.500  0.248 [2 per cell]
Si  0.000  0.500  0.873 [2 per cell]
Si  0.500  0.500  0.500 [1 per cell]
Pt  0.000  0.000  0.000 [1 per cell]
Pt  0.000  0.500  0.665 [2 per cell]
Pt  0.500  0.500  0.000 [1 per cell]
Au  0.000  0.000  0.500 [1 per cell]

## Properties
- VASP energy: -6.2453 eV per atom

---

No. 7
## TbSi2Pt7Au (PBE-GGA)

Data for a relaxed structure of TbSi2Pt7Au.

Unit cell a=4.042 b=4.042 c=29.249 alpha=90.00 beta=90.00 gamma=90.00
Space group I-4m2 (No. 119)
One atom of each set of equivalent atoms:
Tb  0.000  0.000  0.000 [2 per cell]
Si  0.000  0.000  0.381 [4 per cell]
Pt  0.000  0.000  0.306 [4 per cell]
Pt  0.000  0.000  0.500 [2 per cell]
Pt  0.000  0.500  0.075 [4 per cell]
Pt  0.000  0.500  0.574 [4 per cell]
Au  0.000  0.500  0.250 [2 per cell]

## Properties
- VASP energy: -5.8649 eV per atom

---

No. 8
## ThSi2Pt5Au (PBE-GGA)

Data for a relaxed structure of ThSi2Pt5Au.

Unit cell a=4.078 b=4.078 c=10.851 alpha=90.00 beta=90.00 gamma=90.00
Space group P4/mmm (No. 123)
One atom of each set of equivalent atoms:
Th  0.000  0.000  0.000 [1 per cell]
Si  0.500  0.500  0.217 [2 per cell]
Pt  0.000  0.500  0.323 [4 per cell]
Pt  0.500  0.500  0.000 [1 per cell]
Au  0.000  0.000  0.500 [1 per cell]

## Properties
- VASP energy: -6.3078 eV per atom

---

No. 9
## Th2Si3Pt12Au (PBE-GGA)

Data for a relaxed structure of Th2Si3Pt12Au.

Unit cell a=8.3363 b=8.3363 c=17.8229 alpha=90.00 beta=90.00 gamma=120.00
Space group R-3m (No. 166, hexagonal axes)
One atom of each set of equivalent atoms:
Th  0.0000  0.0000  0.1117 [6 per cell]
Si  0.0000  0.5000  0.0000 [9 per cell]
Pt  0.0175  0.5087  0.8691 [18 per cell]
Pt  0.0269  0.5135  0.3685 [18 per cell]
Au  0.0000  0.0000  0.5000 [3 per cell]

## Properties
- VASP energy: -6.4377 eV per atom

---

No. 10
## Th2Si4Pt3Au (PBE-GGA)

Data for a relaxed structure of Th2Si4Pt3Au.

Unit cell a=4.325 b=4.325 c=9.842 alpha=90.00 beta=90.00 gamma=90.00
Space group P-4m2 (No. 115)
One atom of each set of equivalent atoms:
Th  0.000  0.500  0.245 [2 per cell]
Si  0.000  0.000  0.000 [1 per cell]
Si  0.000  0.500  0.637 [2 per cell]
Si  0.500  0.500  0.000 [1 per cell]
Pt  0.000  0.500  0.884 [2 per cell]
Pt  0.500  0.500  0.500 [1 per cell]
Au  0.000  0.000  0.500 [1 per cell]

## Properties
- VASP energy: -6.8066 eV per atom

---

No. 11
## Th2Si3Pt4Au (PBE-GGA)

Data for a relaxed structure of Th2Si3Pt4Au.

Unit cell a=4.197 b=4.197 c=10.715 alpha=90.00 beta=90.00 gamma=90.00
Space group P-4m2 (No. 115)
One atom of each set of equivalent atoms:
Th  0.000  0.500  0.248 [2 per cell]
Si  0.000  0.500  0.878 [2 per cell]
Si  0.500  0.500  0.500 [1 per cell]
Pt  0.000  0.000  0.000 [1 per cell]
Pt  0.000  0.500  0.659 [2 per cell]
Pt  0.500  0.500  0.000 [1 per cell]
Au  0.000  0.000  0.500 [1 per cell]

## Properties
- VASP energy: -6.8187 eV per atom

---

No. 12
## Tm2Si3Pt4Au (PBE-GGA)

Data for a relaxed structure of Tm2Si3Pt4Au.

Unit cell a=3.976 b=3.976 c=11.264 alpha=90.00 beta=90.00 gamma=90.00
Space group P-4m2 (No. 115)
One atom of each set of equivalent atoms:
Tm  0.000  0.500  0.249 [2 per cell]
Si  0.000  0.500  0.871 [2 per cell]
Si  0.500  0.500  0.500 [1 per cell]
Pt  0.000  0.000  0.000 [1 per cell]
Pt  0.000  0.500  0.667 [2 per cell]
Pt  0.500  0.500  0.000 [1 per cell]
Au  0.000  0.000  0.500 [1 per cell]

## Properties
- VASP energy: -6.1917 eV per atom

---

No. 13
## Tm2Si4Pt3Au (PBE-GGA)

Data for a relaxed structure of Tm2Si4Pt3Au.

Unit cell a=4.195 b=4.195 c=9.929 alpha=90.00 beta=90.00 gamma=90.00
Space group P-4m2 (No. 115)
One atom of each set of equivalent atoms:
Tm  0.000  0.500  0.247 [2 per cell]
Si  0.000  0.000  0.000 [1 per cell]
Si  0.000  0.500  0.640 [2 per cell]
Si  0.500  0.500  0.000 [1 per cell]
Pt  0.000  0.500  0.878 [2 per cell]
Pt  0.500  0.500  0.500 [1 per cell]
Au  0.000  0.000  0.500 [1 per cell]

## Properties
- VASP energy: -6.1393 eV per atom

---

No. 14
## U2Si3Pt4Au (PBE-GGA)

Data for a relaxed structure of U2Si3Pt4Au.

Unit cell a=4.004 b=4.004 c=11.245 alpha=90.00 beta=90.00 gamma=90.00
Space group P-4m2 (No. 115)
One atom of each set of equivalent atoms:
U  0.000  0.500  0.245 [2 per cell]
Si  0.000  0.500  0.873 [2 per cell]
Si  0.500  0.500  0.500 [1 per cell]
Pt  0.000  0.000  0.000 [1 per cell]
Pt  0.000  0.500  0.666 [2 per cell]
Pt  0.500  0.500  0.000 [1 per cell]
Au  0.000  0.000  0.500 [1 per cell]

## Properties
- VASP energy: -7.2610 eV per atom

---

No. 15
## U2Si4Pt3Au (PBE-GGA)

Data for a relaxed structure of U2Si4Pt3Au.

Unit cell a=4.229 b=4.229 c=9.916 alpha=90.00 beta=90.00 gamma=90.00
Space group P-4m2 (No. 115)
One atom of each set of equivalent atoms:
U  0.000  0.500  0.244 [2 per cell]
Si  0.000  0.000  0.000 [1 per cell]
Si  0.000  0.500  0.640 [2 per cell]
Si  0.500  0.500  0.000 [1 per cell]
Pt  0.000  0.500  0.880 [2 per cell]
Pt  0.500  0.500  0.500 [1 per cell]
Au  0.000  0.000  0.500 [1 per cell]

## Properties
- VASP energy: -7.2250 eV per atom

---

No. 16
## Si2PtWAu (PBE-GGA)

Data for a relaxed structure of Si2PtWAu.

Unit cell a=4.526 b=4.526 c=5.151 alpha=90.00 beta=90.00 gamma=90.00
Space group P4/mmm (No. 123)
One atom of each set of equivalent atoms:
Si  0.000  0.500  0.000 [2 per cell]
Pt  0.000  0.000  0.000 [1 per cell]
W  0.500  0.500  0.500 [1 per cell]
Au  0.000  0.000  0.500 [1 per cell]

## Properties
- VASP energy: -5.4052 eV per atom

---

No. 17
## Y3Si2Pt9Au (PBE-GGA)

Data for a relaxed structure of Y3Si2Pt9Au.

Unit cell a=5.6229 b=5.6229 c=11.2041 alpha=90.00 beta=90.00 gamma=120.00
Space group P-3m1 (No. 164)
One atom of each set of equivalent atoms:
Y  0.0000  0.0000  0.0000 [1 per cell]
Y  0.3333  0.6667  0.5908 [2 per cell]
Si  0.3333  0.6667  0.1590 [2 per cell]
Pt  0.0000  0.5000  0.0000 [3 per cell]
Pt  0.1631  0.3261  0.3060 [6 per cell]
Au  0.0000  0.0000  0.5000 [1 per cell]

## Properties
- VASP energy: -6.6299 eV per atom

---

No. 18
## SmPtAu4 (PBE-GGA)

Data for a relaxed structure of SmPtAu4.

Unit cell a=7.797 b=7.797 c=7.797 alpha=90.00 beta=90.00 gamma=90.00
Space group F-43m (No. 216)
One atom of each set of equivalent atoms:
Sm  0.000  0.000  0.000 [4 per cell]
Pt  0.250  0.250  0.250 [4 per cell]
Au  0.125  0.125  0.625 [16 per cell]

## Properties
- VASP energy: -4.3940 eV per atom
- Energy of formation: -416 meV per atom

---

No. 19
## SmPtAu (PBE-GGA)

Data for a relaxed structure of SmPtAu.

Unit cell a=6.712 b=5.543 c=7.524 alpha=90.00 beta=110.13 gamma=90.00
Space group P2_1/c (No. 14)
One atom of each set of equivalent atoms:
Sm  0.194  0.125  0.374 [4 per cell]
Pt  0.163  0.645  0.512 [4 per cell]
Au  0.434  0.586  0.298 [4 per cell]

## Properties
- VASP energy: -5.5886 eV per atom
- Energy of formation: -909 meV per atom

---

No. 20
## Sm3Pt8Au (PBE-GGA)

Data for a relaxed structure of Sm3Pt8Au.

Unit cell a=5.4464 b=5.4464 c=26.7267 alpha=90.00 beta=90.00 gamma=120.00
Space group R3m (No. 160, hexagonal axes)
One atom of each set of equivalent atoms:
Sm  0.0000  0.0000  0.0000 [3 per cell]
Sm  0.0000  0.0000  0.1303 [3 per cell]
Sm  0.0000  0.0000  0.5191 [3 per cell]
Pt  0.0000  0.0000  0.3199 [3 per cell]
Pt  0.0000  0.0000  0.8201 [3 per cell]
Pt  0.0003  0.5002  0.0710 [9 per cell]
Pt  0.1684  0.3368  0.9025 [9 per cell]
Au  0.0000  0.0000  0.6379 [3 per cell]

## Properties
- VASP energy: -6.4287 eV per atom
- Energy of formation: -949 meV per atom

---

Asked for total magnetic moment across the records above, the calculation gives 0.00, 0.00, 0.00, 0.00, 0.00, 0.00, 0.00, 0.00, 0.00, 0.00, 0.00, 0.00, 0.00, 4.54, 4.45, 3.13, 0.00, 0.00, 0.00, 0.00 μB/cell in order.